{"formula": "CoTc2Mo", "functional": "PBE-GGA", "state": "relaxed", "formation_energy_ev_per_atom": 0.11, "sg": "Pmm2, No. 25", "lattice": [[2.723, 0.000, 0.000], [0.000, 3.778, 0.000], [0.000, 0.000, 5.420]], "species": ["Mo", "Co", "Tc", "Tc"], "fractional_positions": [[0.500, 0.500, 0.735], [0.000, 0.000, 0.499], [0.500, 0.500, 0.255], [0.000, 0.000, 0.011]]}

***

{"formula": "CoTcMo2", "functional": "PBE-GGA", "state": "relaxed", "formation_energy_ev_per_atom": 0.24, "sg": "R-3m, No. 166", "lattice": [[-2.716, 8.579, 0.914], [-3.600, 7.608, 3.313], [-1.013, 8.455, 3.050]], "species": ["Mo", "Mo", "Tc", "Co"], "fractional_positions": [[0.497, 0.497, 0.497], [0.003, 0.003, 0.003], [0.250, 0.250, 0.250], [0.750, 0.750, 0.750]]}

***

{"formula": "Co3TcMo", "functional": "PBE-GGA", "state": "relaxed", "formation_energy_ev_per_atom": 1.61, "sg": "Pm-3m, No. 221", "lattice": [[-4.329, -0.117, 0.087], [0.146, -3.316, 2.783], [-0.008, 2.785, 3.318]], "species": ["Co", "Mo", "Co", "Tc", "Co"], "fractional_positions": [[0.000, 0.000, 0.500], [0.500, 0.500, 0.500], [0.500, 0.000, 0.000], [0.000, 0.000, 0.000], [0.000, 0.500, 0.000]]}

***

{"formula": "CoTcMo2", "functional": "PBE-GGA", "state": "relaxed", "formation_energy_ev_per_atom": 0.15, "sg": "P4mm, No. 99", "lattice": [[-0.293, 0.864, -3.027], [-3.129, -0.408, 0.186], [-0.617, 5.481, 1.624]], "species": ["Co", "Mo", "Mo", "Tc"], "fractional_positions": [[0.500, 0.500, 0.772], [0.000, 0.000, 0.966], [0.500, 0.500, 0.260], [0.000, 0.000, 0.503]]}

***

{"formula": "CoTc2Mo", "functional": "PBE-GGA", "state": "relaxed", "formation_energy_ev_per_atom": 0.66, "sg": "I-42d, No. 122", "lattice": [[3.738, 0.000, 0.000], [0.000, 3.738, 0.000], [1.869, 1.869, 8.684]], "species": ["Mo", "Mo", "Co", "Tc", "Tc", "Tc", "Co", "Tc"], "fractional_positions": [[0.000, 0.000, 0.000], [0.750, 0.250, 0.500], [0.250, 0.750, 0.500], [0.375, 0.410, 0.750], [0.590, 0.125, 0.250], [0.875, 0.840, 0.750], [0.500, 0.500, 0.000], [0.160, 0.625, 0.250]]}

***

{"formula": "CoTcMo2", "functional": "PBE-GGA", "state": "relaxed", "formation_energy_ev_per_atom": 0.10, "sg": "P4/mmm, No. 123", "lattice": [[-1.979, -3.316, -0.029], [3.025, -1.792, -1.596], [1.339, -0.830, 3.471]], "species": ["Co", "Mo", "Tc", "Mo"], "fractional_positions": [[0.000, 0.500, 0.500], [0.500, 0.500, 0.000], [0.500, 0.000, 0.500], [0.000, 0.000, 0.000]]}

***

{"formula": "CoTc2Mo", "functional": "PBE-GGA", "state": "relaxed", "formation_energy_ev_per_atom": 0.21, "sg": "R3m, No. 160", "lattice": [[-2.544, 0.941, -0.062], [-1.857, -1.212, -1.563], [-3.613, -5.445, 6.158]], "species": ["Co", "Tc", "Mo", "Tc"], "fractional_positions": [[0.666, 0.666, 0.002], [0.255, 0.255, 0.234], [0.500, 0.500, 0.499], [0.078, 0.078, 0.765]]}

***

{"formula": "CoTc2Mo", "functional": "PBE-GGA", "state": "relaxed", "formation_energy_ev_per_atom": 0.14, "sg": "P4mm, No. 99", "lattice": [[-0.577, -3.051, 0.554], [-0.004, -0.563, -3.103], [5.542, -1.016, 0.176]], "species": ["Tc", "Co", "Tc", "Mo"], "fractional_positions": [[0.500, 0.500, 0.263], [0.000, 0.000, 0.520], [0.000, 0.000, 0.006], [0.500, 0.500, 0.712]]}